A plane-wave DFT calculation with PBE was carried out for TaBeRu after structural relaxation.

Output
space-group type = F-43m (216)
energy relative to the lowest polymorph listed for this composition = 15.483 kcal/mol of atoms
V = 14.39 A^3/atom

Lattice parameters (Å, degrees): 3.938 3.938 3.938 60.00 60.00 60.00
Atoms (fractional coordinates):
1 Ru 0.000 0.000 0.000
2 Be 0.750 0.750 0.750
3 Ta 0.500 0.500 0.500